Compound: RbVHgSe4
Source: the Alexandria database
Functional: GGA-PBE
Structure: optimized geometry

Cell lengths 6.203, 7.608, 9.930 Å; angles 90.00, 108.54, 90.00 degrees
Fractional positions:
1 Se 0.426 0.750 0.504
2 Se 0.928 0.497 0.275
3 Se 0.279 0.750 0.098
4 Se 0.574 0.250 0.496
5 Se 0.072 0.503 0.725
6 Se 0.928 0.003 0.275
7 Se 0.072 0.997 0.725
8 Se 0.721 0.250 0.902
9 Rb 0.331 0.250 0.113
10 Rb 0.669 0.750 0.887
11 Hg 0.260 0.250 0.607
12 Hg 0.740 0.750 0.393
13 V 0.860 0.250 0.719
14 V 0.140 0.750 0.281

Results
Final energy   -4.087 eV per atom
Formation energy (no corrections)   -0.6119 eV per atom
Spin magnetization   0.00 Bohr magnetons per cell